## Ba2CePtSe5 (PBE-GGA)

Data for a relaxed structure of Ba2CePtSe5.

Values from the calculation:
Energy (eV/atom): -5.15
Symmetry: Cmc2_1, No. 36
Formation energy without anion corrections (kJ/mol of atoms): -140.5
Calculated density (kg/m³): 6238
Total magnetization (μB per formula unit): 0.00

```
Ba2CePtSe5
1.0
2.122 -9.365 0.000
2.122 9.365 0.000
0.000 0.000 13.460
Ba Ce Pt Se
4 2 2 10
Direct
0.117 0.883 0.500
0.129 0.871 0.850
0.871 0.129 0.350
0.883 0.117 0.000
0.184 0.816 0.180
0.816 0.184 0.680
0.439 0.561 0.591
0.561 0.439 0.091
0.027 0.973 0.178
0.308 0.692 0.530
0.311 0.689 0.826
0.335 0.665 0.172
0.494 0.506 0.422
0.506 0.494 0.922
0.665 0.335 0.672
0.689 0.311 0.326
0.692 0.308 0.030
0.973 0.027 0.678
```